1.
{
  "formula": "HgIrRh2",
  "functional": "PBE",
  "state": "optimized geometry",
  "cell": [[2.813, -3.958, 0.000], [2.813, 3.958, 0.000], [0.000, 0.000, 2.821]],
  "species": ["Hg", "Ir", "Rh", "Rh"],
  "fractional_positions": [[0.000, 0.000, 0.000], [0.500, 0.500, 0.000], [0.000, 0.500, 0.500], [0.500, 0.000, 0.500]],
  "e_tot_ev_per_atom": -5.7025,
  "dos_ef_per_ev_cell": 4.2
}


2.
{
  "formula": "HgIrRh2",
  "functional": "PBE",
  "state": "optimized geometry",
  "cell": [[-1.400, 2.369, 4.851], [1.400, -2.369, 4.851], [1.400, 2.369, -4.851]],
  "species": ["Hg", "Ir", "Rh", "Rh"],
  "fractional_positions": [[0.000, 0.000, 0.000], [0.734, 0.234, 0.500], [0.268, 0.768, 0.500], [0.506, 0.506, 0.000]],
  "e_tot_ev_per_atom": -5.6376,
  "dos_ef_per_ev_cell": 4.9
}